(1)
20
Lattice="-0.826 2.394 3.334 -4.812 -9.292 5.479 11.658 0.490 2.538" Properties=species:S:1:pos:R:3 comment="PBE-GGA Tb3BiSe6, relaxed" space_group=P2_1/m polymorph_energy_ev_per_atom=0.0000 crystal_system=monoclinic formation_energy_uncorrected_ev_per_atom=-1.475 pbc="T T T"
Tb 7.040 -1.788 6.972
Tb -1.021 -4.620 4.379
Tb 1.924 -4.180 7.422
Tb 4.095 -2.228 3.930
Tb -0.465 0.353 3.575
Tb 6.484 -6.761 7.776
Bi 7.271 1.958 4.340
Bi -1.252 -8.366 7.011
Se 4.249 -2.414 6.730
Se 1.771 -3.994 4.621
Se -3.955 -6.707 7.779
Se 9.974 0.299 3.572
Se -1.781 -1.849 4.830
Se 7.800 -4.559 6.522
Se -0.907 -4.902 7.238
Se 6.926 -1.506 4.113
Se 4.322 0.943 4.338
Se 1.697 -7.351 7.013
Se 4.220 -5.280 8.781
Se 1.799 -1.128 2.570

***

(2)
12
Lattice="-2.994 -3.041 -0.901 6.353 -5.623 -2.131 0.237 -0.014 9.819" Properties=species:S:1:pos:R:3 comment="PBE-GGA Tb6Bi2Te3Se, relaxed" space_group=C2/m crystal_system=monoclinic formation_energy_uncorrected_ev_per_atom=-1.253 pbc="T T T"
Tb 4.997 -6.267 4.546
Tb 1.791 -5.303 1.394
Tb -1.401 -2.412 2.242
Tb -1.349 -4.291 8.414
Tb 4.945 -4.387 -1.626
Tb 1.805 -3.375 5.394
Bi 1.901 -6.295 4.378
Bi 1.695 -2.383 2.410
Te 1.679 -4.332 -1.516
Te -1.290 -3.444 5.358
Te 4.886 -5.234 1.430
Se -1.497 -1.520 -0.450

***

(3)
8
Lattice="-3.645 -0.068 -2.172 3.733 -1.808 -6.209 0.435 -7.305 -0.501" Properties=species:S:1:pos:R:3 comment="PBE-GGA Tb4BiTeSe2, relaxed" space_group=P2/m crystal_system=monoclinic formation_energy_uncorrected_ev_per_atom=-1.436 pbc="T T T"
Tb 3.228 -6.828 -5.204
Tb -2.705 -2.354 -3.678
Tb 1.195 -3.178 -6.052
Tb -0.671 -6.004 -2.831
Bi 0.480 -8.243 -4.692
Te 2.084 -4.557 -3.355
Se 0.435 -7.305 -0.501
Se -1.605 -3.687 -1.336

***

(4)
12
Lattice="-6.409 -1.055 3.806 5.110 -5.518 -0.327 3.504 4.685 4.708" Properties=species:S:1:pos:R:3 comment="PBE-GGA Tb6Bi3TeSe2, relaxed" space_group=C2/m crystal_system=monoclinic formation_energy_uncorrected_ev_per_atom=-1.234 pbc="T T T"
Tb -0.299 -0.567 6.901
Tb -0.143 -3.716 3.615
Tb 2.505 -1.320 1.286
Tb 3.697 -2.115 5.467
Tb 2.349 1.829 4.572
Tb -1.491 0.228 2.720
Bi 5.018 -2.461 2.689
Bi -2.812 0.573 5.498
Bi 1.103 -0.944 4.093
Te 0.000 0.000 0.000
Se 1.291 -4.038 1.043
Se -2.589 -2.535 2.435

***

(5)
8
Lattice="4.379 0.000 0.000 0.000 7.545 -0.133 0.000 2.671 7.096" Properties=species:S:1:pos:R:3 comment="PBE-GGA Tb4Bi2TeSe, relaxed" space_group=P2/m crystal_system=monoclinic formation_energy_uncorrected_ev_per_atom=-1.197 pbc="T T T"
Tb 0.000 7.590 5.329
Tb 4.379 2.626 1.634
Tb 2.189 6.248 1.623
Tb 2.189 3.967 5.340
Bi 0.000 2.671 7.096
Bi 2.189 1.335 3.548
Te 0.000 5.108 3.482
Se 2.189 3.772 -0.066

***

(6)
12
Lattice="-2.108 3.035 -2.057 -5.584 0.519 6.487 7.705 4.609 3.251" Properties=species:S:1:pos:R:3 comment="PBE-GGA Tb6BiTe2Se3, relaxed" space_group=C2/m crystal_system=monoclinic formation_energy_uncorrected_ev_per_atom=-1.479 pbc="T T T"
Tb -0.884 4.499 7.542
Tb -2.294 3.776 3.573
Tb 0.896 3.663 0.138
Tb 4.023 7.696 2.883
Tb -4.011 0.466 4.797
Tb 2.306 4.387 4.108
Bi -1.054 1.517 -1.029
Te -0.356 5.935 4.773
Te 0.368 2.227 2.908
Se -3.846 1.777 2.215
Se 2.431 5.684 1.547
Se -2.418 2.478 6.133

***

(7)
4
Lattice="-4.003 -1.385 -0.285 3.012 -1.692 -2.466 3.072 -3.657 6.261" Properties=species:S:1:pos:R:3 comment="PBE-GGA TbThBiSe, relaxed" space_group=R3m crystal_system=trigonal formation_energy_uncorrected_ev_per_atom=-1.168 pbc="T T T"
Tb 3.152 -4.684 4.156
Th -1.637 -3.196 0.939
Bi 0.432 -3.185 3.458
Se 2.704 -2.175 -1.766

***

(8)
16
Lattice="-6.526 -3.182 4.357 5.272 -6.936 2.832 2.704 7.869 1.569" Properties=species:S:1:pos:R:3 comment="PBE-GGA Tb3Tl4BiSe8, relaxed" space_group=R-3m crystal_system=trigonal formation_energy_uncorrected_ev_per_atom=-1.153 pbc="T T T"
Tb -0.627 -5.059 3.594
Tb 0.725 -1.124 4.379
Tb 3.988 0.467 2.201
Tl -3.263 -1.591 2.178
Tl -1.911 2.344 2.963
Tl 0.000 0.000 0.000
Tl 1.352 3.935 0.785
Bi 2.636 -3.468 1.416
Se 4.791 1.953 4.568
Se 3.465 -1.907 3.798
Se 1.262 1.279 2.825
Se 1.590 0.393 6.705
Se -0.140 -2.641 2.054
Se 0.188 -3.527 5.934
Se -2.014 -0.342 4.960
Se -3.341 -4.202 4.191